No. 1
NaCa2TeO after structural relaxation, computed with GGA-PBE.

Summary:
calculated volume: 22.722 A^3/atom
formation energy from raw total energies: -1.57 eV per atom
space-group type: P4/mmm (123)
E: -21.3 eV per cell

CIF file:
```
data_NaCa2TeO
_cell_length_a 4.722
_cell_length_b 4.722
_cell_length_c 5.096
_cell_angle_alpha 90.00
_cell_angle_beta 90.00
_cell_angle_gamma 90.00
_symmetry_space_group_name_H-M 'P 1'
_symmetry_Int_Tables_number 1
_symmetry_space_group_name_Hall 'P 1'
loop_
_atom_site_label
_atom_site_type_symbol
_atom_site_fract_x
_atom_site_fract_y
_atom_site_fract_z
Na1 Na 0.000 0.000 0.000
Ca1 Ca 0.000 0.500 0.500
Ca2 Ca 0.500 0.000 0.500
Te1 Te 0.500 0.500 0.000
O1 O 0.000 0.000 0.500
```



No. 2
NaCaTe2O6 after structural relaxation, computed with GGA-PBE.

Summary:
calculated volume: 16.782 A^3/atom
formation energy from raw total energies: -1.50 eV per atom
space-group type: C2/c (15)
E: -108.7 eV per cell

CIF file:
```
data_NaCaTe2O6
_cell_length_a 7.273
_cell_length_b 7.273
_cell_length_c 6.861
_cell_angle_alpha 104.56
_cell_angle_beta 104.56
_cell_angle_gamma 94.95
_symmetry_space_group_name_H-M 'P 1'
_symmetry_Int_Tables_number 1
_symmetry_space_group_name_Hall 'P 1'
loop_
_atom_site_label
_atom_site_type_symbol
_atom_site_fract_x
_atom_site_fract_y
_atom_site_fract_z
Na1 Na 0.231 0.769 0.750
Na2 Na 0.769 0.231 0.250
Ca1 Ca 0.426 0.574 0.250
Ca2 Ca 0.574 0.426 0.750
Te1 Te 0.070 0.286 0.754
Te2 Te 0.286 0.070 0.254
Te3 Te 0.714 0.930 0.746
Te4 Te 0.930 0.714 0.246
O1 O 0.085 0.200 0.474
O2 O 0.112 0.546 0.270
O3 O 0.200 0.085 0.974
O4 O 0.295 0.473 0.872
O5 O 0.454 0.888 0.230
O6 O 0.473 0.295 0.372
O7 O 0.527 0.705 0.628
O8 O 0.546 0.112 0.770
O9 O 0.705 0.527 0.128
O10 O 0.800 0.915 0.026
O11 O 0.888 0.454 0.730
O12 O 0.915 0.800 0.526
```